A geometry-optimized Pa2HgSb structure, computed with PBE-GGA.

Results
crystal system = tetragonal
total magnetization = 0.0 μB per formula unit
space group = No. 123
ΔE to the lowest computed polymorph = 0.013 eV per atom
raw formation energy = -0.090 eV per atom

Geometry as POSCAR:
```
Pa2HgSb
1.0
3.5176 0.0000 0.0000
0.0000 3.5176 0.0000
0.0000 0.0000 8.2064
Pa Hg Sb
2 1 1
direct
0.0000 0.0000 0.2385
0.0000 0.0000 0.7615
0.5000 0.5000 0.5000
0.5000 0.5000 0.0000
```

---

A geometry-optimized Pa2HgSb structure, computed with PBE-GGA.

Results
crystal system = cubic
total magnetization = 3.0 μB per formula unit
space group = No. 225
ΔE to the lowest computed polymorph = 0.091 eV per atom
raw formation energy = -0.012 eV per atom

Geometry as POSCAR:
```
Pa2HgSb
1.0
0.0000 3.7345 3.7345
3.7345 0.0000 3.7345
3.7345 3.7345 0.0000
Pa Hg Sb
2 1 1
direct
0.2500 0.2500 0.2500
0.7500 0.7500 0.7500
0.0000 0.0000 0.0000
0.5000 0.5000 0.5000
```

---

A geometry-optimized Pa2HgSb structure, computed with PBE-GGA.

Results
crystal system = tetragonal
total magnetization = 1.8 μB per formula unit
space group = No. 123
ΔE to the lowest computed polymorph = 0.000 eV per atom
raw formation energy = -0.103 eV per atom

Geometry as POSCAR:
```
Pa2HgSb
1.0
4.7683 0.0000 0.0000
0.0000 4.7683 0.0000
0.0000 0.0000 4.4530
Pa Hg Sb
2 1 1
direct
0.0000 0.5000 0.0000
0.5000 0.0000 0.0000
0.0000 0.0000 0.5000
0.5000 0.5000 0.5000
```

---

A geometry-optimized Pa2HgSb structure, computed with PBE-GGA.

Results
crystal system = trigonal
total magnetization = 0.0 μB per formula unit
space group = No. 166
ΔE to the lowest computed polymorph = 0.176 eV per atom
raw formation energy = 0.073 eV per atom

Geometry as POSCAR:
```
Pa2HgSb
1.0
2.1968 1.2683 6.9402
-2.1968 1.2683 6.9402
0.0000 -2.5367 6.9402
Pa Hg Sb
2 1 1
direct
0.2459 0.2459 0.2459
0.7541 0.7541 0.7541
0.5000 0.5000 0.5000
0.0000 0.0000 0.0000
```

---

A geometry-optimized SmPaHgSb structure, computed with PBE-GGA.

Results
crystal system = cubic
total magnetization = 2.4 μB per formula unit
space group = No. 216
raw formation energy = -0.295 eV per atom

Geometry as POSCAR:
```
SmPaHgSb
1.0
0.0000 3.7764 3.7764
3.7764 0.0000 3.7764
3.7764 3.7764 0.0000
Sm Pa Hg Sb
1 1 1 1
direct
0.0000 0.0000 0.0000
0.5000 0.5000 0.5000
0.2500 0.2500 0.2500
0.7500 0.7500 0.7500
```

---

A geometry-optimized TbPaHgSb structure, computed with PBE-GGA.

Results
crystal system = cubic
total magnetization = 2.2 μB per formula unit
space group = No. 216
raw formation energy = -0.290 eV per atom

Geometry as POSCAR:
```
TbPaHgSb
1.0
0.0000 3.7497 3.7497
3.7497 0.0000 3.7497
3.7497 3.7497 0.0000
Tb Pa Hg Sb
1 1 1 1
direct
0.0000 0.0000 0.0000
0.5000 0.5000 0.5000
0.2500 0.2500 0.2500
0.7500 0.7500 0.7500
```

---

A geometry-optimized ScPaHg2 structure, computed with PBE-GGA.

Results
crystal system = tetragonal
calculated formation energy = 0.010 eV/atom
total magnetization = 1.9 μB per formula unit
space group = No. 123
ΔE to the lowest computed polymorph = 0.167 eV per atom

Geometry as POSCAR:
```
ScPaHg2
1.0
4.6273 0.0000 0.0000
0.0000 4.6273 0.0000
0.0000 0.0000 4.4516
Sc Pa Hg
1 1 2
direct
0.0000 0.0000 0.0000
0.5000 0.5000 0.0000
0.0000 0.5000 0.5000
0.5000 0.0000 0.5000
```

---

A geometry-optimized ScPaHg structure, computed with PBE-GGA.

Results
crystal system = orthorhombic
calculated formation energy = -0.154 eV/atom
total magnetization = 0.0 μB per formula unit
space group = No. 63
ΔE to the lowest computed polymorph = 0.000 eV per atom

Geometry as POSCAR:
```
ScPaHg
1.0
1.5986 -8.5900 0.0000
1.5986 8.5900 0.0000
0.0000 0.0000 5.1055
Sc Pa Hg
2 2 2
direct
0.0922 0.9078 0.7500
0.9078 0.0922 0.2500
0.2309 0.7691 0.2500
0.7691 0.2309 0.7500
0.4393 0.5607 0.7500
0.5607 0.4393 0.2500
```

---

A geometry-optimized Sc2PaHg structure, computed with PBE-GGA.

Results
crystal system = tetragonal
calculated formation energy = 0.034 eV/atom
total magnetization = 0.0 μB per formula unit
space group = No. 123
ΔE to the lowest computed polymorph = 0.194 eV per atom

Geometry as POSCAR:
```
Sc2PaHg
1.0
4.6746 0.0000 0.0000
0.0000 4.6746 0.0000
0.0000 0.0000 4.2312
Sc Pa Hg
2 1 1
direct
0.0000 0.5000 0.0000
0.5000 0.0000 0.0000
0.0000 0.0000 0.5000
0.5000 0.5000 0.5000
```

---

A geometry-optimized Sc2PaHg structure, computed with PBE-GGA.

Results
crystal system = tetragonal
calculated formation energy = -0.160 eV/atom
total magnetization = 0.1 μB per formula unit
space group = No. 123
ΔE to the lowest computed polymorph = 0.000 eV per atom

Geometry as POSCAR:
```
Sc2PaHg
1.0
3.3486 0.0000 0.0000
0.0000 3.3486 0.0000
0.0000 0.0000 8.2413
Sc Pa Hg
2 1 1
direct
0.0000 0.0000 0.2355
0.0000 0.0000 0.7645
0.5000 0.5000 0.5000
0.5000 0.5000 0.0000
```

---

A geometry-optimized ScPaHg6 structure, computed with PBE-GGA.

Results
crystal system = trigonal
calculated formation energy = 0.253 eV/atom
total magnetization = 1.6 μB per formula unit
space group = No. 166

Geometry as POSCAR:
```
ScPaHg6
1.0
3.0192 1.7431 7.5613
-3.0192 1.7431 7.5613
0.0000 -3.4863 7.5613
Sc Pa Hg
1 1 6
direct
0.0000 0.0000 0.0000
0.5000 0.5000 0.5000
0.0703 0.0703 0.5598
0.0703 0.5598 0.0703
0.4402 0.9297 0.9297
0.5598 0.0703 0.0703
0.9297 0.4402 0.9297
0.9297 0.9297 0.4402
```

---

Look up the total magnetization of the ninth one.
0.0 μB per formula unit